[1]
VASP calculation (PBE) on a relaxed Rb3SbTe4 crystal.

The calculation puts the density of states at the Fermi level at 0.284 states/eV/atom. The value obtained for the electronic total energy is -48.685 eV/cell. The distance to the lowest polymorph of the same formula is 65.5 kJ/mol of formula units. The uncorrected formation energy comes out at -0.59 eV/atom.

The structure belongs to space group Imm2 (No. 44); the cell edges are 6.149, 14.948 and 9.034 Å and the angles 90.00°, 90.00° and 90.00°. The asymmetric unit holds Rb at (0.000, 0.000, 0.000), Rb at (0.000, 0.286, 0.230), Sb at (0.000, 0.500, 0.819), Te at (0.000, 0.348, 0.630) and Te at (0.233, 0.000, 0.605).

---

[2]
VASP calculation (PBE) on a relaxed La4Sb3N crystal.

The calculation puts the density of states at the Fermi level at 0.033 states/eV/atom. The value obtained for the electronic total energy is -97.330 eV/cell. The uncorrected formation energy comes out at -1.03 eV/atom.

The structure belongs to space group Pmn2_1 (No. 31); the cell edges are 10.271, 8.863 and 6.514 Å and the angles 90.00°, 90.00° and 90.00°. The asymmetric unit holds La at (0.000, 0.098, 0.000), La at (0.000, 0.814, 0.561), La at (0.211, 0.694, 0.001), Sb at (0.000, 0.160, 0.490), Sb at (0.231, 0.336, 0.990) and N at (0.000, 0.821, 0.920).

---

[3]
VASP calculation (PBE) on a relaxed NaEuCuHg crystal.

The calculation puts the density of states at the Fermi level at 2.181 states/eV/atom. The value obtained for the electronic total energy is -65.625 eV/cell. Its energy of formation from the pure elements is -0.10 eV per atom.

The structure belongs to space group F-43m (No. 216); the cell edges are 7.410, 7.410 and 7.410 Å and the angles 90.00°, 90.00° and 90.00°. The asymmetric unit holds Na at (0.000, 0.000, 0.000), Eu at (0.000, 0.000, 0.500), Cu at (0.250, 0.250, 0.250) and Hg at (0.250, 0.250, 0.750).

---

Look up the electronic total energy of the second one.
-97.330 eV/cell

---

Which of these has the highest electronic total energy?
Rb3SbTe4